Entry 1:
Here is a geometry-optimized SrTcB2 structure from Alexandria. Energies are from PBE-GGA.

a = 4.9917 Å, b = 4.9917 Å, c = 12.6355 Å
α = 90.00°, β = 90.00°, γ = 90.00°
Closest atoms and distances in Å follow each position.
Space group I4_1/amd (No. 141, origin choice 2)
Unique sites:
Sr1 0.0000 0.2500 0.3750 [4 per cell]  8 B 3.21, 4 Tc 3.53
Tc1 0.0000 0.2500 0.8750 [4 per cell]  4 B 2.01
B1 0.0000 0.0000 0.0000 [8 per cell]  2 Tc 2.01

Values from the calculation:
Spin magnetization in Bohr magnetons per cell: 0.0
N(E_F) in states/eV per cell: 14.17
Relative energy among the computed polymorphs in eV per formula unit: 0.00
E_tot in Ry/atom: -0.447

Entry 2:
Here is a geometry-optimized Be2ZnAg2 structure from Alexandria. Energies are from PBE-GGA.

a = 6.9088 Å, b = 6.9088 Å, c = 2.9018 Å
α = 90.00°, β = 90.00°, γ = 90.00°
Closest atoms and distances in Å follow each position.
Space group P4/mbm (No. 127)
Unique sites:
Be1 0.1448 0.3552 0.0000 [4 per cell]  6 Ag 2.47-2.50
Zn1 0.0000 0.0000 0.5000 [2 per cell]  4 Ag 2.63, 2 Zn 2.90
Ag1 0.1505 0.6505 0.5000 [4 per cell]  6 Be 2.47-2.50, 2 Zn 2.63

Values from the calculation:
Spin magnetization in Bohr magnetons per cell: 0.0
N(E_F) in states/eV per cell: 1.61
Relative energy among the computed polymorphs in eV per formula unit: 0.45
E_tot in Ry/atom: -0.196

Entry 3:
Here is a geometry-optimized TcSn4Ge2 structure from Alexandria. Energies are from PBE-GGA.

a = 5.1975 Å, b = 5.1975 Å, c = 14.2819 Å
α = 90.00°, β = 90.00°, γ = 90.00°
Closest atoms and distances in Å follow each position.
Space group I4/mmm (No. 139)
Unique sites:
Tc1 0.0000 0.0000 0.0000 [2 per cell]  6 Sn 2.60-2.66
Sn1 0.0000 0.0000 0.1864 [4 per cell]  1 Ge 2.61, 1 Tc 2.66
Sn2 0.0000 0.5000 0.0000 [4 per cell]  2 Tc 2.60
Ge1 0.0000 0.0000 0.3694 [4 per cell]  1 Sn 2.61

Values from the calculation:
Spin magnetization in Bohr magnetons per cell: 0.0
N(E_F) in states/eV per cell: 13.43
E_tot in Ry/atom: -0.340

Entry 4:
Here is a geometry-optimized HfP2S6 structure from Alexandria. Energies are from PBE-GGA.

a = 8.2363 Å, b = 11.6628 Å, c = 21.8179 Å
α = 90.00°, β = 90.00°, γ = 90.00°
Closest atoms and distances in Å follow each position.
Space group Fdd2 (No. 43)
Unique sites:
Hf1 0.0000 0.0000 0.0000 [8 per cell]  6 S 2.54-2.57
P1 0.1066 0.4379 0.3362 [16 per cell]  3 S 2.03-2.05
S1 0.0111 0.2820 0.5156 [16 per cell]  1 P 2.03
S2 0.0162 0.2763 0.3265 [16 per cell]  1 P 2.04
S3 0.0331 0.2246 0.1681 [16 per cell]  1 P 2.05

Values from the calculation:
Spin magnetization in Bohr magnetons per cell: 0.0
N(E_F) in states/eV per cell: 0.00
Formation energy without anion corrections in eV per formula unit: -6.173
Relative energy among the computed polymorphs in eV per formula unit: 0.00
E_tot in Ry/atom: -0.422

Entry 5:
Here is a geometry-optimized BeAgW3 structure from Alexandria. Energies are from PBE-GGA.

a = 4.7625 Å, b = 4.7625 Å, c = 4.7625 Å
α = 90.00°, β = 90.00°, γ = 90.00°
Closest atoms and distances in Å follow each position.
Space group Pm-3m (No. 221)
Unique sites:
Be1 0.0000 0.0000 0.0000 [1 per cell]  12 W 3.37
Ag1 0.5000 0.5000 0.5000 [1 per cell]  6 W 2.38
W1 0.0000 0.5000 0.5000 [3 per cell]  2 Ag 2.38

Values from the calculation:
Spin magnetization in Bohr magnetons per cell: 0.0
N(E_F) in states/eV per cell: 4.02
Relative energy among the computed polymorphs in eV per formula unit: 10.89
E_tot in Ry/atom: -0.436

Entry 6:
Here is a geometry-optimized YHg3I9 structure from Alexandria. Energies are from PBE-GGA.

a = 20.5686 Å, b = 10.6442 Å, c = 14.8204 Å
α = 90.00°, β = 128.97°, γ = 90.00°
Closest atoms and distances in Å follow each position.
Space group Cc (No. 9)
Unique sites:
Y1 0.0000 0.2317 0.0000 [4 per cell]  6 I 3.01-3.14
Hg1 0.1365 0.4302 0.8361 [4 per cell]  4 I 2.83-2.95
Hg2 0.2676 0.0675 0.7791 [4 per cell]  4 I 2.83-2.97
Hg3 0.3734 0.3860 0.6843 [4 per cell]  4 I 2.85-2.90
I1 0.0091 0.0747 0.1804 [4 per cell]  1 Hg 2.86, 1 Y 3.06
I2 0.1018 0.4643 0.1254 [4 per cell]  1 Hg 2.95, 1 Y 3.01
I3 0.1408 0.0440 0.0623 [4 per cell]  1 Hg 2.83, 1 Y 3.14
I4 0.2009 0.3529 0.4785 [4 per cell]  2 Hg 2.83-2.90
I5 0.2630 0.2405 0.9223 [4 per cell]  2 Hg 2.86-2.88
I6 0.3538 0.4231 0.3010 [4 per cell]  1 Hg 2.86, 1 Y 3.05
I7 0.3551 0.1302 0.4601 [4 per cell]  1 Hg 2.97, 1 Y 3.03
I8 0.4084 0.1493 0.7968 [4 per cell]  2 Hg 2.85-2.88
I9 0.4995 0.1982 0.2966 [4 per cell]  1 Hg 2.84, 1 Y 3.10

Values from the calculation:
Spin magnetization in Bohr magnetons per cell: 0.0
Formation energy without anion corrections in eV per formula unit: -7.550
E_tot in Ry/atom: -0.163

Entry 7:
Here is a geometry-optimized ScGaSi3 structure from Alexandria. Energies are from PBE-GGA.

a = 5.0312 Å, b = 5.0312 Å, c = 5.0312 Å
α = 90.00°, β = 90.00°, γ = 90.00°
Closest atoms and distances in Å follow each position.
Space group Pm-3m (No. 221)
Unique sites:
Sc1 0.0000 0.0000 0.0000 [1 per cell]  6 Si 2.52
Ga1 0.5000 0.5000 0.5000 [1 per cell]  12 Si 3.56
Si1 0.0000 0.0000 0.5000 [3 per cell]  2 Sc 2.52

Values from the calculation:
Spin magnetization in Bohr magnetons per cell: 0.0
N(E_F) in states/eV per cell: 2.28
Formation energy without anion corrections in eV per formula unit: 4.120
Relative energy among the computed polymorphs in eV per formula unit: 0.68
E_tot in Ry/atom: -0.316

Entry 8:
Here is a geometry-optimized PmPrNd structure from Alexandria. Energies are from PBE-GGA.

a = 3.6830 Å, b = 3.6830 Å, c = 9.0072 Å
α = 90.00°, β = 90.00°, γ = 120.00°
Closest atoms and distances in Å follow each position.
Space group P3m1 (No. 156)
Unique sites:
Pm1 0.0000 0.0000 0.0000 [1 per cell]  3 Nd 3.66, 3 Pr 3.68, 6 Pm 3.68
Pr1 0.3333 0.6667 0.6668 [1 per cell]  3 Pm 3.68, 6 Pr 3.68, 3 Nd 3.70
Nd1 0.6667 0.3333 0.3303 [1 per cell]  3 Pm 3.66, 6 Nd 3.68, 3 Pr 3.70

Values from the calculation:
Spin magnetization in Bohr magnetons per cell: 0.0
N(E_F) in states/eV per cell: 4.02
Relative energy among the computed polymorphs in eV per formula unit: 0.00
E_tot in Ry/atom: -0.350

Entry 9:
Here is a geometry-optimized IrI2Cl structure from Alexandria. Energies are from PBE-GGA.

a = 7.6620 Å, b = 7.6620 Å, c = 8.4960 Å
α = 90.00°, β = 90.00°, γ = 90.00°
Closest atoms and distances in Å follow each position.
Space group I-42d (No. 122)
Unique sites:
Ir1 0.0000 0.0000 0.0000 [4 per cell]  4 I 2.56
I1 0.1738 0.2500 0.1250 [8 per cell]  2 Ir 2.56
Cl1 0.0000 0.0000 0.5000 [4 per cell]  4 I 3.32

Values from the calculation:
Spin magnetization in Bohr magnetons per cell: 0.0
N(E_F) in states/eV per cell: 9.90
Formation energy without anion corrections in eV per formula unit: 1.286
Relative energy among the computed polymorphs in eV per formula unit: 1.54
E_tot in Ry/atom: -0.230

Entry 10:
Here is a geometry-optimized TbAl2Fe2C structure from Alexandria. Energies are from PBE-GGA.

a = 3.8637 Å, b = 3.8637 Å, c = 5.5674 Å
α = 90.00°, β = 90.00°, γ = 90.00°
Closest atoms and distances in Å follow each position.
Space group P4/mmm (No. 123)
Unique sites:
Tb1 0.0000 0.0000 0.0000 [1 per cell]  2 C 2.78, 8 Al 3.03
Al1 0.5000 0.5000 0.2352 [2 per cell]  4 Fe 2.43, 1 Al 2.62
Fe1 0.0000 0.5000 0.5000 [2 per cell]  2 C 1.93
C1 0.0000 0.0000 0.5000 [1 per cell]  4 Fe 1.93

Values from the calculation:
Spin magnetization in Bohr magnetons per cell: 0.0
N(E_F) in states/eV per cell: 2.83
E_tot in Ry/atom: -0.492

Entry 11:
Here is a geometry-optimized SrLa2Hg6 structure from Alexandria. Energies are from PBE-GGA.

a = 8.8640 Å, b = 8.8640 Å, c = 3.6261 Å
α = 90.00°, β = 90.00°, γ = 120.00°
Closest atoms and distances in Å follow each position.
Space group P6/mmm (No. 191)
Unique sites:
Sr1 0.0000 0.0000 0.0000 [1 per cell]  12 Hg 3.47, 2 Sr 3.63
La1 0.3333 0.6667 0.0000 [2 per cell]  12 Hg 3.47, 2 La 3.63
Hg1 0.0000 0.3336 0.5000 [6 per cell]  3 Hg 2.95-2.96

Values from the calculation:
Spin magnetization in Bohr magnetons per cell: 0.3
N(E_F) in states/eV per cell: 6.26
E_tot in Ry/atom: -0.144

Entry 12:
Here is a geometry-optimized Ce4SmSb6 structure from Alexandria. Energies are from PBE-GGA.

a = 12.2395 Å, b = 12.2395 Å, c = 15.6117 Å
α = 90.00°, β = 90.00°, γ = 120.00°
Closest atoms and distances in Å follow each position.
Space group R-3c (No. 167, hexagonal axes)
Unique sites:
Ce1 0.0000 0.0000 0.2500 [6 per cell]  6 Sb 3.25
Ce2 0.0000 0.3901 0.2500 [18 per cell]  8 Sb 3.18-3.38
Sm1 0.0000 0.0000 0.0000 [6 per cell]  6 Sb 3.04
Sb1 0.0351 0.2165 0.3856 [36 per cell]  1 Sm 3.04, 5 Ce 3.18-3.38, 1 Sb 3.36

Values from the calculation:
Spin magnetization in Bohr magnetons per cell: 11.1
N(E_F) in states/eV per cell: 125.48
Formation energy without anion corrections in eV per formula unit: -9.637
E_tot in Ry/atom: -0.420

Entry 13:
Here is a geometry-optimized Ti2InGe structure from Alexandria. Energies are from PBE-GGA.

a = 3.0391 Å, b = 3.0391 Å, c = 27.3560 Å
α = 90.00°, β = 90.00°, γ = 120.00°
Closest atoms and distances in Å follow each position.
Space group R-3m (No. 166, hexagonal axes)
Unique sites:
Ti1 0.0000 0.0000 0.2448 [6 per cell]  3 Ge 2.77, 3 In 2.99, 6 Ti 3.04
In1 0.0000 0.0000 0.0000 [3 per cell]  6 Ti 2.99, 6 In 3.04
Ge1 0.0000 0.0000 0.5000 [3 per cell]  6 Ti 2.77, 6 Ge 3.04

Values from the calculation:
Spin magnetization in Bohr magnetons per cell: 0.0
N(E_F) in states/eV per cell: 8.84
E_tot in Ry/atom: -0.436

Entry 14:
Here is a geometry-optimized AcAsPAu structure from Alexandria. Energies are from PBE-GGA.

a = 4.2992 Å, b = 4.4651 Å, c = 10.2552 Å
α = 90.00°, β = 90.00°, γ = 90.00°
Closest atoms and distances in Å follow each position.
Space group Imm2 (No. 44)
Unique sites:
Ac1 0.0000 0.0000 0.0000 [2 per cell]  4 P 3.30, 4 Au 3.33-3.42, 4 As 3.34
As1 0.0000 0.0000 0.3794 [2 per cell]  1 P 2.37, 2 Au 2.65
P1 0.0000 0.0000 0.6103 [2 per cell]  1 As 2.37, 2 Au 2.53
Au1 0.0000 0.5000 0.2409 [2 per cell]  2 P 2.53, 2 As 2.65

Values from the calculation:
Spin magnetization in Bohr magnetons per cell: 0.0
N(E_F) in states/eV per cell: 1.75
E_tot in Ry/atom: -0.377

Entry 15:
Here is a geometry-optimized YOsSeBr2 structure from Alexandria. Energies are from PBE-GGA.

a = 5.5245 Å, b = 5.5245 Å, c = 5.5602 Å
α = 90.00°, β = 90.00°, γ = 90.00°
Closest atoms and distances in Å follow each position.
Space group P4/mmm (No. 123)
Unique sites:
Y1 0.0000 0.0000 0.0000 [1 per cell]  4 Br 2.76, 2 Se 2.78
Os1 0.5000 0.5000 0.5000 [1 per cell]  4 Se 3.91, 8 Br 3.92
Se1 0.0000 0.0000 0.5000 [1 per cell]  2 Y 2.78
Br1 0.0000 0.5000 0.0000 [2 per cell]  2 Y 2.76

Values from the calculation:
Spin magnetization in Bohr magnetons per cell: 4.9
N(E_F) in states/eV per cell: 5.52
Formation energy without anion corrections in eV per formula unit: 1.807
Relative energy among the computed polymorphs in eV per formula unit: 1.25
E_tot in Ry/atom: -0.334

Entry 16:
Here is a geometry-optimized Si2Pd2W structure from Alexandria. Energies are from PBE-GGA.

a = 3.6401 Å, b = 3.6401 Å, c = 11.5683 Å
α = 90.00°, β = 90.00°, γ = 90.00°
Closest atoms and distances in Å follow each position.
Space group I4/mmm (No. 139)
Unique sites:
Si1 0.0000 0.5000 0.2500 [4 per cell]  4 Pd 2.42, 4 Si 2.57
Pd1 0.0000 0.0000 0.1127 [4 per cell]  4 Si 2.42, 1 Pd 2.61
W1 0.0000 0.0000 0.5000 [2 per cell]  8 Pd 2.89

Values from the calculation:
Spin magnetization in Bohr magnetons per cell: 1.1
N(E_F) in states/eV per cell: 4.93
Formation energy without anion corrections in eV per formula unit: 1.274
Relative energy among the computed polymorphs in eV per formula unit: 2.29
E_tot in Ry/atom: -0.484